Zn2InP after structural relaxation, computed with GGA-PBE.

Values from the calculation:
Density   6.00 g/cm³
Formation energy from the elements   234 meV per atom

Cell: 3.846 5.162 7.715 Å, 90.00 90.00 90.00°
Space group Cmmm (No. 65)
One atom of each set of equivalent atoms:
Zn 0.000 0.000 0.207 [4 per cell]
In 0.000 0.500 0.500 [2 per cell]
P 0.000 0.500 0.000 [2 per cell]



Sr11Pd4Pb9 after structural relaxation, computed with GGA-PBE.

Values from the calculation:
Density   7.19 g/cm³
Formation energy from the elements   -559 meV per atom

Cell: 15.468 23.125 4.204 Å, 90.00 90.00 90.00°
Space group Cmmm (No. 65)
One atom of each set of equivalent atoms:
Sr 0.000 0.000 0.000 [2 per cell]
Sr 0.000 0.166 0.000 [4 per cell]
Sr 0.000 0.373 0.000 [4 per cell]
Sr 0.191 0.500 0.000 [4 per cell]
Sr 0.242 0.171 0.000 [8 per cell]
Pd 0.156 0.397 0.500 [8 per cell]
Pb 0.000 0.500 0.500 [2 per cell]
Pb 0.104 0.269 0.500 [8 per cell]
Pb 0.152 0.070 0.500 [8 per cell]



Ac3BCl3 after structural relaxation, computed with GGA-PBE.

Values from the calculation:
Density   5.85 g/cm³
ΔE_f (raw)   -1.3837 eV per atom

Cell: 12.193 12.193 12.193 Å, 90.00 90.00 90.00°
Space group I4_132 (No. 214)
One atom of each set of equivalent atoms:
Ac 0.112 0.362 0.125 [24 per cell]
B 0.125 0.125 0.125 [8 per cell]
Cl 0.124 0.126 0.625 [24 per cell]



Pr3Tm3PuTe8 after structural relaxation, computed with GGA-PBE.

Values from the calculation:
Density   7.53 g/cm³
ΔE_f (raw)   -1.3319 eV per atom

Cell: 8.7767 8.7767 21.7703 Å, 90.00 90.00 120.00°
Space group R-3m (No. 166, hexagonal axes)
One atom of each set of equivalent atoms:
Pr 0.0000 0.5000 0.0000 [9 per cell]
Tm 0.0000 0.5000 0.5000 [9 per cell]
Pu 0.0000 0.0000 0.5000 [3 per cell]
Te 0.0000 0.0000 0.2440 [6 per cell]
Te 0.0161 0.5080 0.7521 [18 per cell]



Pm2CdAu4 after structural relaxation, computed with GGA-PBE.

Values from the calculation:
Density   11.29 g/cm³
Formation energy from the elements   -572 meV per atom

Cell: 4.7675 4.7675 26.6902 Å, 90.00 90.00 120.00°
Space group R-3m (No. 166, hexagonal axes)
One atom of each set of equivalent atoms:
Pm 0.0000 0.0000 0.2489 [6 per cell]
Cd 0.0000 0.0000 0.0000 [3 per cell]
Au 0.0000 0.0000 0.1357 [6 per cell]
Au 0.0000 0.0000 0.3655 [6 per cell]



Tb4ScTl2 after structural relaxation, computed with GGA-PBE.

Values from the calculation:
Density   8.69 g/cm³
Energy above the most stable polymorph in this dataset   120 meV per atom
Formation energy from the elements   151 meV per atom

Cell: 6.701 9.751 12.741 Å, 90.00 90.00 90.00°
Space group Fmmm (No. 69)
One atom of each set of equivalent atoms:
Tb 0.250 0.250 0.000 [8 per cell]
Tb 0.250 0.250 0.250 [8 per cell]
Sc 0.000 0.000 0.000 [4 per cell]
Tl 0.000 0.000 0.372 [8 per cell]



Spin magnetization across the listed records, respectively: 0.00, 0.00, 0.00, 6.18, 0.00, 0.00 μB per formula unit.